Record 1
Ba2TlAs2, single point on PBEsol structure, DFT SCAN; uncorrected energy = -39.35 eV per atom; total magnetization = 0.00 μB/f.u.; SG = No. 127; crystal system = tetragonal
1.0
8.173 0.000 0.000
0.000 8.173 0.000
0.000 0.000 4.651
Ba Tl As
4 2 4
direct
0.182 0.318 0.000
0.318 0.818 0.000
0.682 0.182 0.000
0.818 0.682 0.000
0.000 0.000 0.500
0.500 0.500 0.500
0.107 0.607 0.500
0.393 0.107 0.500
0.607 0.893 0.500
0.893 0.393 0.500

Record 2
BaTlAs, single point on PBEsol structure, DFT SCAN; uncorrected energy = -44.40 eV per atom; total magnetization = 0.00 μB/f.u.; SG = No. 216; offset from the most stable computed form = 1.36 eV/f.u.; crystal system = cubic
1.0
0.000 3.764 3.764
3.764 0.000 3.764
3.764 3.764 0.000
Ba Tl As
1 1 1
direct
0.000 0.000 0.000
0.750 0.750 0.750
0.250 0.250 0.250